Computed, not measured: CaPmSbBr after structural relaxation at the PBE level of DFT.

Unit cell a=5.413 b=5.413 c=5.413 alpha=60.00 beta=60.00 gamma=60.00
Fractional coordinates of all 4 atoms:
Sb (0.500, 0.500, 0.500)
Ca (0.250, 0.250, 0.250)
Br (0.000, 0.000, 0.000)
Pm (0.750, 0.750, 0.750)

Properties
SG	F-43m
total moment	0.0	μB per cell
theoretical density	5.73	g/cm3
formation energy (no corrections)	-1.09	eV per atom